Record 1
CaInBrCl2 | GGA-PBE | optimized geometry

Output
ΔE_f (raw): -1.647 eV/atom

Cell: 4.4663 7.6325 10.7455 Å, 119.44 90.00 90.00°
Fractional positions:
Ca 0.7500 0.6958 0.9390
Ca 0.2500 0.3042 0.0610
Br 0.2500 0.9603 0.1240
Br 0.7500 0.0397 0.8760
Cl 0.7500 0.5685 0.1460
Cl 0.7500 0.5117 0.6339
Cl 0.2500 0.4883 0.3661
Cl 0.2500 0.4315 0.8540
In 0.7500 0.7717 0.4912
In 0.2500 0.2283 0.5088

---

Record 2
Pu2ZnB2Rh5 | GGA-PBE | optimized geometry

Output
energy of formation from the pure elements: -0.522 eV per atom

Cell: 3.1886 9.5792 9.5792 Å, 90.00 90.00 90.00°
Fractional positions:
Zn 0.0000 0.5000 0.5000
Zn 0.0000 0.0000 0.0000
Rh 0.5000 0.5000 0.0000
Rh 0.5000 0.0690 0.7791
Rh 0.5000 0.7791 0.9310
Rh 0.5000 0.0000 0.5000
Rh 0.5000 0.5690 0.7209
Rh 0.5000 0.4310 0.2791
Rh 0.5000 0.9310 0.2209
Rh 0.5000 0.2791 0.5690
Rh 0.5000 0.2209 0.0690
Rh 0.5000 0.7209 0.4310
Pu 0.0000 0.3230 0.8230
Pu 0.0000 0.1770 0.3230
Pu 0.0000 0.8230 0.6770
Pu 0.0000 0.6770 0.1770
B 0.0000 0.1227 0.6227
B 0.0000 0.8773 0.3773
B 0.0000 0.6227 0.8773
B 0.0000 0.3773 0.1227

---

Record 3
K14Pu2O9 | GGA-PBE | optimized geometry

Output
ΔE_f (raw): -1.346 eV/atom

Cell: 7.9215 7.9215 11.0036 Å, 90.00 90.00 120.00°
Fractional positions:
K 0.0000 0.0000 0.2444
K 0.3852 0.2815 0.4075
K 0.1036 0.3852 0.5925
K 0.2815 0.8964 0.5925
K 0.8964 0.6148 0.4075
K 0.9490 0.3167 0.0898
K 0.6148 0.7185 0.5925
K 0.0000 0.0000 0.7556
K 0.3167 0.3677 0.9102
K 0.0510 0.6833 0.9102
K 0.7185 0.1036 0.4075
K 0.6323 0.9490 0.9102
K 0.6833 0.6323 0.0898
K 0.3677 0.0510 0.0898
O 0.6667 0.3333 0.9234
O 0.2641 0.8874 0.3404
O 0.1126 0.3767 0.3404
O 0.8874 0.6233 0.6596
O 0.3767 0.2641 0.6596
O 0.0000 0.0000 0.0000
O 0.7359 0.1126 0.6596
O 0.6233 0.7359 0.3404
O 0.3333 0.6667 0.0766
Pu 0.6667 0.3333 0.7257
Pu 0.3333 0.6667 0.2743

---

Record 4
Cr2InP | GGA-PBE | optimized geometry

Output
energy of formation from the pure elements: 0.263 eV per atom

Cell: 8.2086 8.2086 8.2086 Å, 20.79 20.79 20.79°
Fractional positions:
Cr 0.2646 0.2646 0.2646
Cr 0.9990 0.9990 0.9990
P 0.7329 0.7329 0.7329
In 0.5035 0.5035 0.5035

---

Record 5
KRh | GGA-PBE | optimized geometry

Output
energy of formation from the pure elements: 0.873 eV per atom

Cell: 5.0310 5.0310 5.0310 Å, 60.00 60.00 60.00°
Fractional positions:
Rh 0.5000 0.5000 0.5000
Rh 0.7500 0.7500 0.7500
K 0.2500 0.2500 0.2500
K 0.0000 0.0000 0.0000

---

| no. | calculated density (g/cm3) | DFT total energy (eV/cell) |
| --- | --- | --- |
| 1 | 3.18 | -36.68 |
| 2 | 12.37 | -170.55 |
| 3 | 3.28 | -122.31 |
| 4 | 6.80 | -26.34 |
| 5 | 5.24 | -13.41 |